1.
An optimized crystal structure of La2AsPt, computed with PBE.

POSCAR file:
```
La2AsPt
1.0
4.535 0.000 0.000
0.000 4.131 0.000
0.000 0.000 11.298
La As Pt
4 2 2
Cartesian
0.000 0.000 0.000
0.000 2.065 5.649
2.268 0.000 3.025
2.268 2.065 8.674
0.000 0.000 8.151
0.000 2.065 2.501
2.268 0.000 6.046
2.268 2.065 0.397
```

Total energy   -0.4707 Ry per atom
Space-group type   Amm2
Formation enthalpy at 0 K   -1.267 eV/atom
V   211.66 Å³ per cell

***

2.
An optimized crystal structure of CuAs2Cl, computed with PBE.

POSCAR file:
```
CuAs2Cl
1.0
3.552 0.000 0.000
0.000 5.714 0.000
0.000 0.000 8.293
Cu As Cl
2 4 2
Cartesian
0.000 0.000 0.000
1.776 2.857 0.000
0.000 0.000 4.579
0.000 2.857 6.380
1.776 0.000 6.380
1.776 2.857 4.579
0.000 2.857 1.426
1.776 0.000 1.426
```

Total energy   -0.2718 Ry per atom
Space-group type   Cmm2
V   168.32 Å³ per cell

***

3.
An optimized crystal structure of DyScTc, computed with PBE.

POSCAR file:
```
DyScTc
1.0
3.166 -6.103 0.000
3.166 6.103 0.000
0.000 0.000 7.387
Dy Sc Tc
4 4 4
Cartesian
3.166 3.755 6.557
3.166 2.348 2.863
3.166 -2.348 4.524
3.166 -3.755 0.830
1.583 0.580 5.540
1.583 -0.580 1.847
4.749 0.580 5.540
4.749 -0.580 1.847
3.166 4.896 3.933
3.166 1.207 0.240
3.166 -1.207 7.148
3.166 -4.896 3.454
```

Total energy   -0.5219 Ry per atom
Space-group type   Cmce
Formation enthalpy at 0 K   0.000 eV/atom
V   285.50 Å³ per cell

***

4.
An optimized crystal structure of LaHoCo, computed with PBE.

POSCAR file:
```
LaHoCo
1.0
13.850 0.000 0.000
0.000 3.961 0.000
-1.113 0.000 5.786
La Ho Co
4 4 4
Cartesian
1.000 0.000 1.767
4.812 1.980 4.020
7.925 1.980 1.767
11.737 0.000 4.020
1.363 1.980 4.768
4.449 0.000 1.018
8.288 0.000 4.768
11.374 1.980 1.018
2.765 1.980 1.902
3.047 0.000 3.885
9.690 0.000 1.902
9.972 1.980 3.885
```

Total energy   -0.4181 Ry per atom
Space-group type   C2/m
Formation enthalpy at 0 K   -0.151 eV/atom
V   317.40 Å³ per cell

***

5.
An optimized crystal structure of Ac2LuCo, computed with PBE.

POSCAR file:
```
Ac2LuCo
1.0
3.883 0.000 0.000
-1.942 3.363 0.000
0.000 0.000 32.136
Ac Lu Co
6 3 3
Cartesian
0.000 0.000 3.634
0.000 0.000 28.502
0.000 2.242 17.790
0.000 2.242 25.058
1.942 1.121 7.078
1.942 1.121 14.346
0.000 0.000 0.000
0.000 2.242 21.424
1.942 1.121 10.712
0.000 0.000 16.068
0.000 2.242 5.356
1.942 1.121 26.780
```

Total energy   -0.3411 Ry per atom
Space-group type   R-3m
Formation enthalpy at 0 K   0.320 eV/atom
V   419.69 Å³ per cell

***

6.
An optimized crystal structure of TbCeHoLu, computed with PBE.

POSCAR file:
```
TbCeHoLu
1.0
7.937 0.000 0.000
0.000 7.937 0.000
0.000 0.000 7.937
Tb Ce Ho Lu
4 4 4 4
Cartesian
0.000 0.000 0.000
0.000 3.968 3.968
3.968 0.000 3.968
3.968 3.968 0.000
0.000 0.000 3.968
0.000 3.968 0.000
3.968 0.000 0.000
3.968 3.968 3.968
1.984 1.984 5.953
1.984 5.953 1.984
5.953 1.984 1.984
5.953 5.953 5.953
1.984 1.984 1.984
1.984 5.953 5.953
5.953 1.984 5.953
5.953 5.953 1.984
```

Total energy   -0.3505 Ry per atom
Space-group type   F-43m
Formation enthalpy at 0 K   0.148 eV/atom
V   499.94 Å³ per cell

***

7.
An optimized crystal structure of Nb2ReAg, computed with PBE.

POSCAR file:
```
Nb2ReAg
1.0
7.336 0.000 0.000
0.000 7.336 0.000
0.000 0.000 5.591
Nb Re Ag
8 4 4
Cartesian
1.643 1.834 0.699
1.834 5.311 2.097
1.834 5.693 4.892
2.025 1.834 3.494
5.311 5.502 3.494
5.502 1.643 4.892
5.502 2.025 2.097
5.693 5.502 0.699
0.000 0.000 0.000
0.000 3.668 1.398
3.668 0.000 4.193
3.668 3.668 2.796
0.000 0.000 2.796
0.000 3.668 4.193
3.668 0.000 1.398
3.668 3.668 0.000
```

Total energy   -0.6008 Ry per atom
Space-group type   I-42d
Formation enthalpy at 0 K   0.686 eV/atom
V   300.90 Å³ per cell

***

8.
An optimized crystal structure of Tb5Er6Sc, computed with PBE.

POSCAR file:
```
Tb5Er6Sc
1.0
3.039 -5.259 0.000
3.039 5.259 0.000
-2.019 0.000 11.451
Tb Er Sc
5 6 1
Cartesian
0.000 0.000 0.000
2.030 3.508 5.726
3.039 1.751 0.000
3.039 -1.751 0.000
2.030 -3.508 5.726
1.025 1.741 2.891
0.016 0.000 8.563
1.025 -1.741 2.891
3.034 1.741 8.560
4.043 0.000 2.888
3.034 -1.741 8.560
2.030 0.000 5.726
```

Total energy   -0.3463 Ry per atom
Space-group type   C2/m
Formation enthalpy at 0 K   0.027 eV/atom
V   366.08 Å³ per cell

***

9.
An optimized crystal structure of TbPa2Si, computed with PBE.

POSCAR file:
```
TbPa2Si
1.0
4.321 0.000 0.000
0.000 4.321 0.000
0.000 0.000 4.911
Tb Pa Si
1 2 1
Cartesian
0.000 0.000 0.000
0.000 2.161 2.456
2.161 0.000 2.456
2.161 2.161 0.000
```

Total energy   -0.5461 Ry per atom
Space-group type   P4/mmm
V   91.71 Å³ per cell

***

10.
An optimized crystal structure of Mn3SnPt12, computed with PBE.

POSCAR file:
```
Mn3SnPt12
1.0
3.966 0.000 0.000
0.000 3.966 0.000
0.000 0.000 15.836
Mn Sn Pt
3 1 12
Cartesian
0.000 0.000 0.000
0.000 0.000 3.885
0.000 0.000 11.951
0.000 0.000 7.918
0.000 1.983 1.942
0.000 1.983 5.821
0.000 1.983 10.014
0.000 1.983 13.894
1.983 0.000 1.942
1.983 0.000 5.821
1.983 0.000 10.014
1.983 0.000 13.894
1.983 1.983 0.000
1.983 1.983 3.889
1.983 1.983 7.918
1.983 1.983 11.947
```

Total energy   -0.5046 Ry per atom
Space-group type   P4/mmm
Formation enthalpy at 0 K   -0.365 eV/atom
V   249.07 Å³ per cell

***

11.
An optimized crystal structure of HoS2Cl4, computed with PBE.

POSCAR file:
```
HoS2Cl4
1.0
3.975 0.000 0.000
0.323 7.641 0.000
1.183 1.779 7.762
Ho S Cl
1 2 4
Cartesian
0.000 0.000 0.000
2.049 4.628 4.502
3.433 4.792 3.260
1.145 2.259 5.187
1.980 1.745 0.351
3.501 7.675 7.411
4.337 7.160 2.576
```

Total energy   -0.3021 Ry per atom
Space-group type   P-1
V   235.79 Å³ per cell

***

12.
An optimized crystal structure of Ba2PbAuO5, computed with PBE.

POSCAR file:
```
Ba2PbAuO5
1.0
1.747 -8.268 0.000
1.747 8.268 0.000
0.000 0.000 10.945
Ba Pb Au O
4 2 2 10
Cartesian
1.747 6.348 5.473
1.747 6.167 1.238
1.747 -6.167 6.711
1.747 -6.348 0.000
1.747 4.673 8.962
1.747 -4.673 3.489
1.747 0.659 2.868
1.747 -0.659 8.341
1.747 6.928 9.446
1.747 3.596 4.976
1.747 3.361 2.003
1.747 2.519 8.888
1.747 0.032 6.408
1.747 -0.032 0.935
1.747 -2.519 3.416
1.747 -3.361 7.476
1.747 -3.596 10.449
1.747 -6.928 3.973
```

Total energy   -0.3943 Ry per atom
Space-group type   Cmc2_1
V   316.23 Å³ per cell